Compound: Th2Co4CuP3
Source: the Alexandria database
Functional: PBE
Structure: relaxed

abc: 3.985 3.985 9.386
angles: 90.00 90.00 90.00
Site moments in Bohr magnetons follow the coordinates.
Element x y z (fractional)
Cu  0.500  0.500  0.500  0.00
Th  0.000  0.500  0.752  -0.03
Th  0.500  0.000  0.248  -0.03
P  0.000  0.500  0.130  0.01
P  0.000  0.000  0.500  0.00
P  0.500  0.000  0.870  0.01
Co  0.000  0.500  0.372  -0.03
Co  0.500  0.500  0.000  0.60
Co  0.000  0.000  0.000  0.65
Co  0.500  0.000  0.628  -0.03

- formation enthalpy at 0 K (meV per atom) = -856
- calculated volume (Å³/cell) = 149.0
- spin magnetization (μB/atom) = 0.109